Entry one
## MgTa2Zn (PBE)

Data for an optimized crystal structure of MgTa2Zn.

Results
- volume (Å³/atom) = 17.7
- calculated density (Mg/m³) = 10.6
- total magnetic moment (μB/f.u.) = 0.000

Structure (CIF):
```
data_MgTa2Zn
_cell_length_a 2.849
_cell_length_b 2.849
_cell_length_c 8.708
_cell_angle_alpha 90.00
_cell_angle_beta 90.00
_cell_angle_gamma 90.00
_space_group_name_H-M_alt 'P 1'
_space_group_IT_number 1
_space_group_name_Hall 'P 1'
loop_
_atom_site_label
_atom_site_type_symbol
_atom_site_fract_x
_atom_site_fract_y
_atom_site_fract_z
Mg1 Mg 0.000 0.000 0.000
Ta1 Ta 0.500 0.500 0.274
Ta2 Ta 0.500 0.500 0.726
Zn1 Zn 0.000 0.000 0.500
```

Entry two
## MgTa2Zn (PBE)

Data for an optimized crystal structure of MgTa2Zn.

Results
- volume (Å³/atom) = 17.9
- calculated density (Mg/m³) = 10.5
- total magnetic moment (μB/f.u.) = 0.000

Structure (CIF):
```
data_MgTa2Zn
_cell_length_a 2.842
_cell_length_b 4.842
_cell_length_c 5.340
_cell_angle_alpha 90.00
_cell_angle_beta 103.44
_cell_angle_gamma 90.00
_space_group_name_H-M_alt 'P 1'
_space_group_IT_number 1
_space_group_name_Hall 'P 1'
loop_
_atom_site_label
_atom_site_type_symbol
_atom_site_fract_x
_atom_site_fract_y
_atom_site_fract_z
Mg1 Mg 0.000 0.000 0.000
Ta1 Ta 0.300 0.500 0.737
Ta2 Ta 0.700 0.500 0.263
Zn1 Zn 0.500 0.000 0.500
```

The structure with the least stability is entry two.

Entry one
## MgTa2Zn (PBE)

Data for an optimized crystal structure of MgTa2Zn.

Results
- volume (Å³/atom) = 17.5
- calculated density (Mg/m³) = 10.7
- total magnetic moment (μB/f.u.) = 0.000

Structure (CIF):
```
data_MgTa2Zn
_cell_length_a 3.826
_cell_length_b 4.048
_cell_length_c 4.524
_cell_angle_alpha 90.00
_cell_angle_beta 90.00
_cell_angle_gamma 90.00
_space_group_name_H-M_alt 'P 1'
_space_group_IT_number 1
_space_group_name_Hall 'P 1'
loop_
_atom_site_label
_atom_site_type_symbol
_atom_site_fract_x
_atom_site_fract_y
_atom_site_fract_z
Mg1 Mg 0.000 0.000 0.000
Ta1 Ta 0.000 0.500 0.500
Ta2 Ta 0.500 0.000 0.500
Zn1 Zn 0.500 0.500 0.000
```

Entry two
## MgTa2Zn (PBE)

Data for an optimized crystal structure of MgTa2Zn.

Results
- volume (Å³/atom) = 17.7
- calculated density (Mg/m³) = 10.6
- total magnetic moment (μB/f.u.) = 0.000

Structure (CIF):
```
data_MgTa2Zn
_cell_length_a 5.541
_cell_length_b 5.541
_cell_length_c 2.821
_cell_angle_alpha 98.20
_cell_angle_beta 98.20
_cell_angle_gamma 121.15
_space_group_name_H-M_alt 'P 1'
_space_group_IT_number 1
_space_group_name_Hall 'P 1'
loop_
_atom_site_label
_atom_site_type_symbol
_atom_site_fract_x
_atom_site_fract_y
_atom_site_fract_z
Mg1 Mg 0.000 0.000 0.000
Ta1 Ta 0.000 0.500 0.500
Ta2 Ta 0.500 0.000 0.500
Zn1 Zn 0.500 0.500 0.000
```

The structure with the least stability is entry two.